1.
Sr2CaMn | PBE | relaxed

Offset from the most stable computed form in meV per atom: 124
DOS at the Fermi energy in states/eV/atom: 0.9755
Space group: Fm-3m, No. 225

abc: 5.989 5.989 5.989
angles: 60.00 60.00 60.00
Sites, in units of the cell vectors:
Sr (0.250, 0.250, 0.250)
Sr (0.750, 0.750, 0.750)
Ca (0.000, 0.000, 0.000)
Mn (0.500, 0.500, 0.500)



2.
Sr2CaMn | PBE | relaxed

Offset from the most stable computed form in meV per atom: 136
DOS at the Fermi energy in states/eV/atom: 1.1851
Space group: R-3m, No. 166

abc: 11.671 11.671 11.671
angles: 19.93 19.93 19.93
Sites, in units of the cell vectors:
Sr (0.233, 0.233, 0.233)
Sr (0.767, 0.767, 0.767)
Ca (0.000, 0.000, 0.000)
Mn (0.500, 0.500, 0.500)



3.
SrCaMn2 | PBE | relaxed

Offset from the most stable computed form in meV per atom: 174
DOS at the Fermi energy in states/eV/atom: 1.6441
Space group: I-4m2, No. 119

abc: 5.889 5.889 5.889
angles: 132.55 132.55 69.36
Sites, in units of the cell vectors:
Sr (0.000, 0.000, 0.000)
Ca (0.250, 0.750, 0.500)
Mn (0.500, 0.500, 0.000)
Mn (0.750, 0.250, 0.500)



4.
Sr2CaMn | PBE | relaxed

Offset from the most stable computed form in meV per atom: 251
DOS at the Fermi energy in states/eV/atom: 1.4974
Space group: I-42d, No. 122

abc: 7.625 7.625 7.625
angles: 102.49 102.49 124.57
Sites, in units of the cell vectors:
Sr (0.071, 0.625, 0.946)
Sr (0.375, 0.321, 0.446)
Sr (0.679, 0.125, 0.054)
Sr (0.875, 0.929, 0.554)
Ca (0.250, 0.750, 0.500)
Ca (0.500, 0.500, 0.000)
Mn (0.000, 0.000, 0.000)
Mn (0.750, 0.250, 0.500)



5.
SrCa2Mn | PBE | relaxed

Offset from the most stable computed form in meV per atom: 0
DOS at the Fermi energy in states/eV/atom: 1.1588
Space group: P2/m, No. 10

abc: 3.844 3.846 9.638
angles: 90.00 90.08 90.00
Sites, in units of the cell vectors:
Sr (0.000, 0.000, 0.000)
Ca (0.500, 0.500, 0.317)
Ca (0.500, 0.500, 0.683)
Mn (0.000, 0.000, 0.500)



6.
SrCaMn2 | PBE | relaxed

Offset from the most stable computed form in meV per atom: 0
DOS at the Fermi energy in states/eV/atom: 1.3551
Space group: P4mm, No. 99

abc: 3.602 3.602 8.710
angles: 90.00 90.00 90.00
Sites, in units of the cell vectors:
Sr (0.000, 0.000, 0.000)
Ca (0.500, 0.500, 0.385)
Mn (0.000, 0.000, 0.616)
Mn (0.500, 0.500, 0.744)



7.
SrCa2Mn | PBE | relaxed

Offset from the most stable computed form in meV per atom: 39
DOS at the Fermi energy in states/eV/atom: 1.1299
Space group: Immm, No. 71

abc: 7.093 7.093 7.093
angles: 148.22 129.87 60.59
Sites, in units of the cell vectors:
Sr (0.000, 0.000, 0.000)
Ca (0.297, 0.797, 0.500)
Ca (0.703, 0.203, 0.500)
Mn (0.500, 0.500, 0.000)



8.
SrCaMn2 | PBE | relaxed

Offset from the most stable computed form in meV per atom: 13
DOS at the Fermi energy in states/eV/atom: 1.0493
Space group: Amm2, No. 38

abc: 4.591 6.447 6.447
angles: 37.91 90.00 90.00
Sites, in units of the cell vectors:
Sr (0.000, 0.000, 0.000)
Ca (0.500, 0.710, 0.710)
Mn (0.000, 0.291, 0.291)
Mn (0.500, 0.403, 0.403)



9.
Sr2CaMn | PBE | relaxed

Offset from the most stable computed form in meV per atom: 145
DOS at the Fermi energy in states/eV/atom: 1.2724
Space group: I-4m2, No. 119

abc: 6.602 6.602 6.602
angles: 132.21 132.21 69.90
Sites, in units of the cell vectors:
Sr (0.000, 0.000, 0.000)
Sr (0.750, 0.250, 0.500)
Ca (0.500, 0.500, 0.000)
Mn (0.250, 0.750, 0.500)



10.
SrCa2Mn | PBE | relaxed

Offset from the most stable computed form in meV per atom: 13
DOS at the Fermi energy in states/eV/atom: 1.2265
Space group: P4mm, No. 99

abc: 3.900 3.900 9.373
angles: 90.00 90.00 90.00
Sites, in units of the cell vectors:
Sr (0.000, 0.000, 0.000)
Ca (0.000, 0.000, 0.610)
Ca (0.500, 0.500, 0.323)
Mn (0.500, 0.500, 0.785)



11.
Sr3CaMn | PBE | relaxed

DOS at the Fermi energy in states/eV/atom: 1.0199
Space group: Pm-3m, No. 221
Uncorrected energy in eV/cell: -14.361

abc: 6.076 6.076 6.076
angles: 90.00 90.00 90.00
Sites, in units of the cell vectors:
Sr (0.000, 0.000, 0.500)
Sr (0.000, 0.500, 0.000)
Sr (0.500, 0.000, 0.000)
Ca (0.500, 0.500, 0.500)
Mn (0.000, 0.000, 0.000)



12.
Sr2CaMn | PBE | relaxed

Offset from the most stable computed form in meV per atom: 122
DOS at the Fermi energy in states/eV/atom: 1.3908
Space group: P4/mmm, No. 123

abc: 5.736 5.736 4.693
angles: 90.00 90.00 90.00
Sites, in units of the cell vectors:
Sr (0.000, 0.500, 0.000)
Sr (0.500, 0.000, 0.000)
Ca (0.000, 0.000, 0.500)
Mn (0.500, 0.500, 0.500)



13.
SrCaMn2 | PBE | relaxed

Offset from the most stable computed form in meV per atom: 105
DOS at the Fermi energy in states/eV/atom: 1.7450
Space group: Fm-3m, No. 225

abc: 5.390 5.390 5.390
angles: 60.00 60.00 60.00
Sites, in units of the cell vectors:
Sr (0.000, 0.000, 0.000)
Ca (0.500, 0.500, 0.500)
Mn (0.250, 0.250, 0.250)
Mn (0.750, 0.750, 0.750)



14.
Sr2CaMn | PBE | relaxed

Offset from the most stable computed form in meV per atom: 50
DOS at the Fermi energy in states/eV/atom: 1.2283
Space group: Imm2, No. 44

abc: 7.272 7.272 7.272
angles: 148.03 129.93 60.65
Sites, in units of the cell vectors:
Sr (0.000, 0.000, 0.000)
Sr (0.702, 0.202, 0.500)
Ca (0.298, 0.798, 0.500)
Mn (0.491, 0.491, 0.000)



15.
SrCa2Mn | PBE | relaxed

Offset from the most stable computed form in meV per atom: 120
DOS at the Fermi energy in states/eV/atom: 1.3594
Space group: I-4m2, No. 119

abc: 5.807 5.807 5.807
angles: 119.54 119.54 90.80
Sites, in units of the cell vectors:
Sr (0.000, 0.000, 0.000)
Ca (0.250, 0.750, 0.500)
Ca (0.500, 0.500, 0.000)
Mn (0.750, 0.250, 0.500)



16.
SrCa2Mn | PBE | relaxed

Offset from the most stable computed form in meV per atom: 606
DOS at the Fermi energy in states/eV/atom: 3.6279
Space group: Fm-3m, No. 225

abc: 5.562 5.562 5.562
angles: 60.00 60.00 60.00
Sites, in units of the cell vectors:
Sr (0.000, 0.000, 0.000)
Ca (0.250, 0.250, 0.250)
Ca (0.750, 0.750, 0.750)
Mn (0.500, 0.500, 0.500)



17.
SrCa2Mn | PBE | relaxed

Offset from the most stable computed form in meV per atom: 79
DOS at the Fermi energy in states/eV/atom: 1.2177
Space group: Cm, No. 8

abc: 7.038 7.038 5.959
angles: 114.83 114.83 32.63
Sites, in units of the cell vectors:
Sr (0.000, 0.000, 0.000)
Ca (0.589, 0.589, 0.589)
Ca (0.795, 0.795, 0.295)
Mn (0.285, 0.285, 0.787)



18.
Sr2CaMn | PBE | relaxed

Offset from the most stable computed form in meV per atom: 0
DOS at the Fermi energy in states/eV/atom: 1.2008
Space group: P4mm, No. 99

abc: 3.966 3.966 9.776
angles: 90.00 90.00 90.00
Sites, in units of the cell vectors:
Sr (0.000, 0.000, 0.000)
Sr (0.500, 0.500, 0.330)
Ca (0.000, 0.000, 0.628)
Mn (0.500, 0.500, 0.797)



19.
Sr2CaTaMn | PBE | relaxed

DOS at the Fermi energy in states/eV/atom: 0.9014
Space group: P4/mmm, No. 123
Uncorrected energy in eV/cell: -17.382

abc: 6.045 6.045 4.674
angles: 90.00 90.00 90.00
Sites, in units of the cell vectors:
Sr (0.000, 0.500, 0.000)
Sr (0.500, 0.000, 0.000)
Ca (0.000, 0.000, 0.000)
Ta (0.500, 0.500, 0.500)
Mn (0.000, 0.000, 0.500)



20.
Sr2CaMnZn | PBE | relaxed

DOS at the Fermi energy in states/eV/atom: 1.1009
Space group: P4/mmm, No. 123
Uncorrected energy in eV/cell: -10.662

abc: 6.601 6.601 5.238
angles: 90.00 90.00 90.00
Sites, in units of the cell vectors:
Sr (0.000, 0.500, 0.000)
Sr (0.500, 0.000, 0.000)
Ca (0.000, 0.000, 0.000)
Mn (0.500, 0.500, 0.500)
Zn (0.000, 0.000, 0.500)



21.
SrCa2ZrMn | PBE | relaxed

DOS at the Fermi energy in states/eV/atom: 0.8377
Space group: P4/mmm, No. 123
Uncorrected energy in eV/cell: -21.595

abc: 5.784 5.784 4.911
angles: 90.00 90.00 90.00
Sites, in units of the cell vectors:
Sr (0.000, 0.000, 0.000)
Ca (0.000, 0.500, 0.500)
Ca (0.500, 0.000, 0.500)
Zr (0.500, 0.500, 0.000)
Mn (0.500, 0.500, 0.500)



22.
CaTaMn2 | PBE | relaxed

Offset from the most stable computed form in meV per atom: 438
DOS at the Fermi energy in states/eV/atom: 0.8529
Space group: I-4m2, No. 119

abc: 5.489 5.489 5.489
angles: 138.51 138.51 60.12
Sites, in units of the cell vectors:
Ca (0.000, 0.000, 0.000)
Ta (0.750, 0.250, 0.500)
Mn (0.250, 0.750, 0.500)
Mn (0.500, 0.500, 0.000)



23.
CaTaMn2 | PBE | relaxed

Offset from the most stable computed form in meV per atom: 502
DOS at the Fermi energy in states/eV/atom: 1.3246
Space group: F-43m, No. 216

abc: 4.680 4.680 4.680
angles: 60.00 60.00 60.00
Sites, in units of the cell vectors:
Ca (0.000, 0.000, 0.000)
Ta (0.750, 0.750, 0.750)
Mn (0.250, 0.250, 0.250)
Mn (0.500, 0.500, 0.500)



24.
CaTaMn | PBE | relaxed

Offset from the most stable computed form in meV per atom: 612
DOS at the Fermi energy in states/eV/atom: 0.9286
Space group: F-43m, No. 216

abc: 4.508 4.508 4.508
angles: 60.00 60.00 60.00
Sites, in units of the cell vectors:
Ca (0.000, 0.000, 0.000)
Ta (0.500, 0.500, 0.500)
Mn (0.750, 0.750, 0.750)



25.
CaTaMn2 | PBE | relaxed

Offset from the most stable computed form in meV per atom: 227
DOS at the Fermi energy in states/eV/atom: 0.8609
Space group: Pm, No. 6

abc: 3.308 4.110 5.988
angles: 90.00 105.92 90.00
Sites, in units of the cell vectors:
Ca (0.000, 0.000, 0.000)
Ta (0.285, 0.500, 0.573)
Mn (0.621, 0.500, 0.243)
Mn (0.744, 0.000, 0.491)



26.
CaTaMn2 | PBE | relaxed

Offset from the most stable computed form in meV per atom: 273
DOS at the Fermi energy in states/eV/atom: 0.8459
Space group: Cm, No. 8

abc: 5.279 5.279 5.131
angles: 102.16 102.16 30.73
Sites, in units of the cell vectors:
Ca (0.000, 0.000, 0.000)
Ta (0.206, 0.206, 0.614)
Mn (0.450, 0.450, 0.484)
Mn (0.762, 0.762, 0.174)



27.
CaTaMn2 | PBE | relaxed

Offset from the most stable computed form in meV per atom: 387
DOS at the Fermi energy in states/eV/atom: 1.0056
Space group: R3m, No. 160

abc: 9.218 9.218 9.218
angles: 19.50 19.50 19.50
Sites, in units of the cell vectors:
Ca (0.000, 0.000, 0.000)
Ta (0.228, 0.228, 0.228)
Mn (0.497, 0.497, 0.497)
Mn (0.766, 0.766, 0.766)



28.
CaTaMn2 | PBE | relaxed

Offset from the most stable computed form in meV per atom: 186
DOS at the Fermi energy in states/eV/atom: 1.1702
Space group: P4mm, No. 99

abc: 2.876 2.876 8.168
angles: 90.00 90.00 90.00
Sites, in units of the cell vectors:
Ca (0.000, 0.000, 0.000)
Ta (0.500, 0.500, 0.643)
Mn (0.000, 0.000, 0.417)
Mn (0.500, 0.500, 0.282)



29.
CaTaMn2 | PBE | relaxed

Offset from the most stable computed form in meV per atom: 345
DOS at the Fermi energy in states/eV/atom: 1.2079
Space group: R-3m, No. 166

abc: 9.135 9.135 9.135
angles: 19.95 19.95 19.95
Sites, in units of the cell vectors:
Ca (0.000, 0.000, 0.000)
Ta (0.500, 0.500, 0.500)
Mn (0.237, 0.237, 0.237)
Mn (0.763, 0.763, 0.763)



30.
CaTaMn | PBE | relaxed

Offset from the most stable computed form in meV per atom: 248
DOS at the Fermi energy in states/eV/atom: 1.0833
Space group: P3m1, No. 156

abc: 3.233 3.233 6.891
angles: 90.00 90.00 120.00
Sites, in units of the cell vectors:
Ca (0.000, 0.000, 0.000)
Ta (0.667, 0.333, 0.578)
Mn (0.333, 0.667, 0.351)